VASP calculation (PBE) on Mo2PdPt7 after structural relaxation.

Cell: 7.1736 13.3578 4.0741 Å, 90.00 90.00 90.00°
Space group Cmmm (No. 65)
Inequivalent atoms, fractional coordinates:
Mo: 0.0000 0.1971 0.0000 x4
Pd: 0.0000 0.5000 0.5000 x2
Pt: 0.0000 0.0000 0.0000 x2
Pt: 0.0000 0.3002 0.5000 x4
Pt: 0.1911 0.3930 0.0000 x8

Results
**N(E_F)**: 10.479 states/eV/f.u.
**E_form**: 0.30 eV per atom

VASP calculation (PBE) on Li4GaRe2 after structural relaxation.

Cell: 4.5539 4.5539 13.4052 Å, 90.00 90.00 90.00°
Space group I4/mmm (No. 139)
Inequivalent atoms, fractional coordinates:
Li: 0.0000 0.0000 0.1888 x4
Li: 0.0000 0.5000 0.0000 x4
Ga: 0.0000 0.0000 0.0000 x2
Re: 0.0000 0.0000 0.4173 x4

Results
**N(E_F)**: 5.580 states/eV/f.u.
**E_form**: 1.00 eV per atom

VASP calculation (PBE) on ZnIrOs2 after structural relaxation.

Cell: 3.7836 3.7836 7.9912 Å, 90.00 90.00 90.00°
Space group I4/mmm (No. 139)
Inequivalent atoms, fractional coordinates:
Zn: 0.0000 0.0000 0.0000 x2
Ir: 0.0000 0.0000 0.5000 x2
Os: 0.0000 0.5000 0.2500 x4

Results
**N(E_F)**: 3.811 states/eV/f.u.
**E_form**: 0.25 eV per atom

VASP calculation (PBE) on BeCd2W after structural relaxation.

Cell: 9.8746 2.8207 5.1098 Å, 90.00 111.59 90.00°
Space group Cm (No. 8)
Inequivalent atoms, fractional coordinates:
Be: 0.0000 0.0000 0.0000 x2
Cd: 0.0080 0.5000 0.4418 x2
Cd: 0.2812 0.0000 0.6392 x2
W: 0.2275 0.5000 0.0880 x2

Results
**N(E_F)**: 1.280 states/eV/f.u.
**E_form**: 0.58 eV per atom

VASP calculation (PBE) on Y2MnP4Ir3 after structural relaxation.

Cell: 4.1381 4.1381 9.3569 Å, 90.00 90.00 90.00°
Space group P-4m2 (No. 115)
Inequivalent atoms, fractional coordinates:
Y: 0.0000 0.5000 0.2421 x2
Mn: 0.0000 0.0000 0.5000 x1
P: 0.0000 0.0000 0.0000 x1
P: 0.0000 0.5000 0.6261 x2
P: 0.5000 0.5000 0.0000 x1
Ir: 0.0000 0.5000 0.8818 x2
Ir: 0.5000 0.5000 0.5000 x1

Results
**N(E_F)**: 3.902 states/eV/f.u.
**E_form**: -0.94 eV per atom

VASP calculation (PBE) on Hg2GeCl4 after structural relaxation.

Cell: 5.7765 5.7765 12.7106 Å, 90.00 90.00 90.00°
Space group I4/mmm (No. 139)
Inequivalent atoms, fractional coordinates:
Hg: 0.0000 0.0000 0.1046 x4
Ge: 0.0000 0.0000 0.5000 x2
Cl: 0.0000 0.0000 0.3005 x4
Cl: 0.0000 0.5000 0.0000 x4

Results
**Formation energy from raw total energies**: -0.47 eV per atom
**N(E_F)**: 0.292 states/eV/f.u.

VASP calculation (PBE) on NpPaSe after structural relaxation.

Cell: 3.8841 3.8841 8.9663 Å, 90.00 90.00 90.00°
Space group I4mm (No. 107)
Inequivalent atoms, fractional coordinates:
Np: 0.0000 0.0000 0.0000 x2
Pa: 0.0000 0.0000 0.7124 x2
Se: 0.0000 0.0000 0.3643 x2

Results
**Formation energy from raw total energies**: -0.35 eV per atom
**N(E_F)**: 7.904 states/eV/f.u.
**Energy above the lowest structure with this stoichiometry**: 0.000 eV/atom

VASP calculation (PBE) on Ac2ScCdSe6 after structural relaxation.

Cell: 6.8556 7.9692 12.1254 Å, 90.00 123.10 90.00°
Space group P2_1/c (No. 14)
Inequivalent atoms, fractional coordinates:
Ac: 0.1994 0.1091 0.2492 x4
Sc: 0.5000 0.0000 0.0000 x2
Cd: 0.0000 0.0000 0.5000 x2
Se: 0.1215 0.1731 0.9479 x4
Se: 0.2862 0.6919 0.9424 x4
Se: 0.3762 0.0328 0.7511 x4

Results
**Formation energy from raw total energies**: -1.50 eV per atom
**N(E_F)**: 7.700 states/eV/f.u.